Material: B2C
Method: DFT, GGA-PBE
State: relaxed

a = 2.7513 Å, b = 3.7511 Å, c = 9.6094 Å
α = 94.37°, β = 90.00°, γ = 90.00°
Closest atoms and distances in Å follow each position.
Element x y z (fractional)
1 C 0.0000 0.0812 0.3328  1 C 1.43, 2 B 1.57
2 C 0.0000 0.1518 0.8312  4 B 1.53-1.62
3 C 0.0000 0.2789 0.4655  1 C 1.43, 2 B 1.56
4 C 0.5000 0.6213 0.6803  4 B 1.57-1.60
5 B 0.5000 0.3822 0.5347  3 C 1.56-1.60
6 B 0.5000 0.5797 0.1509  4 B 1.72-1.83
7 B 0.5000 0.0236 0.0849  6 B 1.70-1.83
8 B 0.5000 0.9485 0.2682  2 C 1.57, 1 B 1.72
9 B 0.0000 0.7960 0.7239  3 C 1.57-1.62
10 B 0.5000 0.3122 0.7843  3 C 1.58-1.59
11 B 0.0000 0.2770 0.1606  5 B 1.79-1.86, 1 C 1.86
12 B 0.0000 0.0475 0.9826  1 C 1.53, 2 B 1.70

Properties
magnetic moment = 0.000 μB per atom
distance to the lowest polymorph of the same formula = 128 meV/atom
VASP energy = -86.6 eV per cell

---

Material: CsCaO
Method: DFT, GGA-PBE
State: relaxed

a = 4.5817 Å, b = 4.5817 Å, c = 11.9069 Å
α = 90.00°, β = 90.00°, γ = 90.00°
Closest atoms and distances in Å follow each position.
Element x y z (fractional)
1 Cs 0.0000 0.5000 0.8078  1 O 3.20
2 Cs 0.5000 0.0000 0.1922  1 O 3.20
3 Ca 0.5000 0.5000 0.5000  4 O 2.34
4 Ca 0.0000 0.0000 0.5000  4 O 2.34
5 O 0.0000 0.5000 0.5390  4 Ca 2.34
6 O 0.5000 0.0000 0.4610  4 Ca 2.34

Properties
magnetic moment = 0.000 μB per atom
VASP energy = -25.8 eV per cell
formation energy from raw total energies = -5.073 eV per formula unit

---

Material: Sr2AgPt2
Method: DFT, GGA-PBE
State: relaxed

a = 5.8342 Å, b = 5.8556 Å, c = 8.5774 Å
α = 102.42°, β = 90.00°, γ = 119.88°
Closest atoms and distances in Å follow each position.
Element x y z (fractional)
1 Ag 0.8515 0.0000 0.2500  4 Pt 2.79-2.83
2 Ag 0.1485 0.0000 0.7500  4 Pt 2.79-2.83
3 Sr 0.7954 0.2994 0.6508  6 Pt 3.13-3.32, 3 Ag 3.45-3.50
4 Sr 0.4961 0.7006 0.8492  6 Pt 3.13-3.32, 3 Ag 3.45-3.50
5 Sr 0.5039 0.2994 0.1508  6 Pt 3.13-3.32, 3 Ag 3.45-3.50
6 Sr 0.2046 0.7006 0.3492  6 Pt 3.13-3.32, 3 Ag 3.45-3.50
7 Pt 0.9958 0.2708 0.0046  1 Pt 2.68, 2 Ag 2.79-2.83
8 Pt 0.0042 0.7292 0.9954  1 Pt 2.68, 2 Ag 2.79-2.83
9 Pt 0.7250 0.7292 0.4954  1 Pt 2.68, 2 Ag 2.79-2.83
10 Pt 0.2750 0.2708 0.5046  1 Pt 2.68, 2 Ag 2.79-2.83

Properties
magnetic moment = 0.000 μB per atom
distance to the lowest polymorph of the same formula = 20 meV/atom
VASP energy = -43.4 eV per cell

---

Material: LiBeZn2
Method: DFT, GGA-PBE
State: relaxed

a = 2.5304 Å, b = 3.8395 Å, c = 5.2594 Å
α = 90.00°, β = 90.00°, γ = 90.00°
Closest atoms and distances in Å follow each position.
Element x y z (fractional)
1 Zn 0.5000 0.5000 0.2760  1 Li 2.47, 6 Zn 2.53-2.75, 4 Be 2.56
2 Zn 0.0000 0.0000 0.9880  6 Zn 2.53-2.75, 2 Be 2.62-2.64, 4 Li 2.63
3 Be 0.0000 0.0000 0.4902  2 Be 2.53, 6 Zn 2.56-2.64, 4 Li 2.66
4 Li 0.5000 0.5000 0.7457  5 Zn 2.47-2.63, 2 Li 2.53, 4 Be 2.66

Properties
magnetic moment = 0.000 μB per atom
VASP energy = -7.9 eV per cell

---

Material: Cs2TaCdSe4
Method: DFT, GGA-PBE
State: relaxed

a = 6.9281 Å, b = 8.0359 Å, c = 13.2436 Å
α = 83.53°, β = 74.84°, γ = 64.46°
Closest atoms and distances in Å follow each position.
Element x y z (fractional)
1 Cs 0.5721 0.5000 0.8559  8 Se 3.91-4.35
2 Cs 0.9279 0.5000 0.1441  8 Se 3.91-4.35
3 Cs 0.1779 0.0000 0.6441  8 Se 3.91-4.35
4 Cs 0.8221 0.0000 0.3559  8 Se 3.91-4.35
5 Ta 0.2500 0.5000 0.5000  4 Se 2.45
6 Ta 0.5000 0.0000 0.0000  4 Se 2.45
7 Se 0.8847 0.6895 0.6056  1 Ta 2.45
8 Se 0.2403 0.1895 0.8944  1 Ta 2.45
9 Se 0.4258 0.6895 0.3944  1 Ta 2.45
10 Se 0.8653 0.8105 0.8944  1 Ta 2.45
11 Se 0.5097 0.3105 0.6056  1 Ta 2.45
12 Se 0.3242 0.8105 0.1056  1 Ta 2.45
13 Se 0.1798 0.3105 0.3944  1 Ta 2.45
14 Se 0.5702 0.1895 0.1056  1 Ta 2.45
15 Cd 0.7500 0.5000 0.5000  4 Se 2.74
16 Cd 0.0000 0.0000 0.0000  4 Se 2.74

Properties
magnetic moment = 0.000 μB per atom
VASP energy = -71.0 eV per cell
formation energy from raw total energies = -7.077 eV per formula unit

---

Material: MnCo2AuSe
Method: DFT, GGA-PBE
State: relaxed

a = 4.3013 Å, b = 4.9478 Å, c = 4.3013 Å
α = 90.00°, β = 90.00°, γ = 90.00°
Closest atoms and distances in Å follow each position.
Element x y z (fractional)
1 Au 0.0000 0.5000 0.0000  2 Se 2.47
2 Se 0.0000 0.0000 0.0000  4 Co 2.15
3 Co 0.5000 0.0000 0.0000  2 Se 2.15
4 Co 0.0000 0.0000 0.5000  2 Se 2.15
5 Mn 0.5000 0.5000 0.5000  4 Au 3.04, 8 Co 3.28

Properties
magnetic moment = 1.235 μB per atom
VASP energy = -26.4 eV per cell
formation energy from raw total energies = 3.696 eV per formula unit

---

Material: Rb4Sc3PaSe8
Method: DFT, GGA-PBE
State: relaxed

a = 8.1899 Å, b = 9.2833 Å, c = 8.1896 Å
α = 116.18°, β = 120.00°, γ = 90.00°
Closest atoms and distances in Å follow each position.
Element x y z (fractional)
1 Sc 0.5000 0.5000 0.5000  6 Se 2.79
2 Sc 0.5000 0.5000 0.0000  6 Se 2.79
3 Sc 0.0000 0.5000 0.5000  6 Se 2.79
4 Rb 0.0000 0.0000 0.5000  6 Se 3.43-3.45
5 Rb 0.5000 0.0000 0.5000  6 Se 3.43-3.45
6 Rb 0.5000 0.0000 0.0000  6 Se 3.37
7 Rb 0.0000 0.0000 0.0000  6 Se 3.43-3.45
8 Se 0.7284 0.6852 0.4568  3 Sc 2.79
9 Se 0.2784 0.3079 0.0432  2 Sc 2.79, 1 Pa 2.87
10 Se 0.2352 0.6921 0.4704  2 Sc 2.79, 1 Pa 2.87
11 Se 0.2716 0.3148 0.5432  3 Sc 2.79
12 Se 0.2352 0.6921 0.9568  2 Sc 2.79, 1 Pa 2.87
13 Se 0.7648 0.3079 0.5296  2 Sc 2.79, 1 Pa 2.87
14 Se 0.7216 0.6921 0.9568  2 Sc 2.79, 1 Pa 2.87
15 Se 0.7648 0.3079 0.0432  2 Sc 2.79, 1 Pa 2.87
16 Pa 0.0000 0.5000 0.0000  6 Se 2.87

Properties
magnetic moment = 0.122 μB per atom
VASP energy = -84.3 eV per cell
formation energy from raw total energies = -24.045 eV per formula unit

---

Material: Ti2CoHgAu
Method: DFT, GGA-PBE
State: relaxed

a = 5.0100 Å, b = 5.0064 Å, c = 5.0100 Å
α = 90.00°, β = 90.00°, γ = 90.00°
Closest atoms and distances in Å follow each position.
Element x y z (fractional)
1 Au 0.0000 0.5000 0.0000  2 Hg 2.50
2 Co 0.5000 0.5000 0.5000  8 Ti 3.54, 4 Au 3.54
3 Ti 0.0000 0.0000 0.5000  2 Hg 2.51
4 Ti 0.5000 0.0000 0.0000  2 Hg 2.51
5 Hg 0.0000 0.0000 0.0000  2 Au 2.50, 4 Ti 2.51

Properties
magnetic moment = 0.488 μB per atom
VASP energy = -18.5 eV per cell